# ZrSBrCl2

An optimized crystal structure of ZrSBrCl2 (PBE, Alexandria via LeMat-Bulk).

Values from the calculation:
ΔE_f (raw) = 647 meV/atom
offset from the most stable computed form = 1549.6 meV/atom
SG = P4/mmm

Cell: 4.9529 4.9529 5.3863 Å, 90.00 90.00 90.00°
Last column: nearest neighbours and their distance in Å.
Fractional positions:
Br: 0.0000 0.0000 0.0000  4 Cl 2.48, 2 S 2.69
Cl: 0.0000 0.5000 0.0000  2 Br 2.48
Cl: 0.5000 0.0000 0.0000  2 Br 2.48
Zr: 0.5000 0.5000 0.5000  4 S 3.50, 8 Cl 3.66
S: 0.0000 0.0000 0.5000  2 Br 2.69

# ZrSBrCl2

An optimized crystal structure of ZrSBrCl2 (PBE, Alexandria via LeMat-Bulk).

Values from the calculation:
ΔE_f (raw) = -903 meV/atom
offset from the most stable computed form = 0.0 meV/atom
SG = P4/mmm

Cell: 5.0578 5.0578 5.0436 Å, 90.00 90.00 90.00°
Last column: nearest neighbours and their distance in Å.
Fractional positions:
Cl: 0.0000 0.5000 0.0000  2 Zr 2.53
Cl: 0.5000 0.0000 0.0000  2 Zr 2.53
S: 0.0000 0.0000 0.5000  2 Zr 2.52
Br: 0.5000 0.5000 0.5000  8 Cl 3.57, 4 S 3.58
Zr: 0.0000 0.0000 0.0000  2 S 2.52, 4 Cl 2.53

# Sb2BrCl2

An optimized crystal structure of Sb2BrCl2 (PBE, Alexandria via LeMat-Bulk).

Values from the calculation:
ΔE_f (raw) = -166 meV/atom
SG = P4/mbm

Cell: 7.7085 7.7085 4.5231 Å, 90.00 90.00 90.00°
Last column: nearest neighbours and their distance in Å.
Fractional positions:
Sb: 0.8666 0.6334 0.0000  1 Sb 2.91, 2 Br 3.01, 2 Cl 3.12
Sb: 0.6334 0.1334 0.0000  1 Sb 2.91, 2 Br 3.01, 2 Cl 3.12
Sb: 0.3666 0.8666 0.0000  1 Sb 2.91, 2 Br 3.01, 2 Cl 3.12
Sb: 0.1334 0.3666 0.0000  1 Sb 2.91, 2 Br 3.01, 2 Cl 3.12
Cl: 0.8306 0.3306 0.5000  6 Sb 3.12-3.26
Cl: 0.1694 0.6694 0.5000  6 Sb 3.12-3.26
Cl: 0.6694 0.8306 0.5000  6 Sb 3.12-3.26
Cl: 0.3306 0.1694 0.5000  6 Sb 3.12-3.26
Br: 0.5000 0.5000 0.0000  4 Sb 3.01
Br: 0.0000 0.0000 0.0000  4 Sb 3.01

# Sb2BrCl

An optimized crystal structure of Sb2BrCl (PBE, Alexandria via LeMat-Bulk).

Values from the calculation:
ΔE_f (raw) = 70 meV/atom
offset from the most stable computed form = 455.6 meV/atom
SG = Pmmm

Cell: 3.2725 4.7151 6.9877 Å, 90.00 90.00 90.00°
Last column: nearest neighbours and their distance in Å.
Fractional positions:
Br: 0.5000 0.5000 0.2500  2 Br 3.27, 2 Cl 3.49, 8 Sb 3.52
Sb: 0.0000 0.0000 0.5407  3 Sb 2.93-3.27, 4 Cl 3.22
Sb: 0.0000 0.0000 0.9593  3 Sb 2.93-3.27, 4 Cl 3.22
Cl: 0.5000 0.5000 0.7500  8 Sb 3.22, 2 Cl 3.27, 2 Br 3.49

Q: Number 1 is which compound?
A: ZrSBrCl2

Q: Which of these has the lowest ΔE_f (raw)?
A: number 2

Q: Which of these has the lowest ΔE_f (raw)?
A: number 2

Q: What is the ΔE_f (raw) in the fourth record?
A: 70 meV/atom